# 1
Entry from Alexandria: a relaxed KLiInBr3 crystal (GGA-PBE).

Lattice parameters (Å, degrees): 9.9538 4.3962 9.9690 90.00 94.41 90.00
With the nearest neighbours (Å) after each atom.
Space group P2_1/m (No. 11)
Symmetry-distinct sites (fractional):
K 0.1847 0.2500 0.1465 [2 per cell]  7 Br 3.31-3.63
Li 0.4098 0.7500 0.9067 [2 per cell]  4 Br 2.50-2.59
In 0.1776 0.2500 0.6269 [2 per cell]  3 Br 3.03-3.29
Br 0.1273 0.7500 0.3832 [2 per cell]  3 In 3.03-3.29, 2 K 3.31
Br 0.1574 0.7500 0.8859 [2 per cell]  1 Li 2.50
Br 0.4762 0.7500 0.1612 [2 per cell]  3 Li 2.57-2.59

Fermi-level density of states = 0.0000 states/eV per atom
final energy = -37.110 eV/cell
energy relative to the elements, uncorrected = -1298 meV/atom

# 2
Entry from Alexandria: a relaxed Na2FeBRh crystal (GGA-PBE).

Lattice parameters (Å, degrees): 5.2730 5.2730 4.3694 90.00 90.00 90.00
With the nearest neighbours (Å) after each atom.
Space group P4/mmm (No. 123)
Symmetry-distinct sites (fractional):
Na 0.0000 0.5000 0.0000 [2 per cell]  2 Fe 2.64
Fe 0.0000 0.0000 0.0000 [1 per cell]  2 Rh 2.18
B 0.5000 0.5000 0.5000 [1 per cell]  8 Na 3.42, 4 Rh 3.73
Rh 0.0000 0.0000 0.5000 [1 per cell]  2 Fe 2.18

Fermi-level density of states = 1.1223 states/eV per atom
final energy = -16.692 eV/cell